Li2PmGeO4 | PBE-GGA | relaxed

The structure belongs to space group I-4m2 (No. 119); the cell edges are 4.452, 4.452 and 9.930 Å and the angles 90.00°, 90.00° and 90.00°. The distinct sites, in fractional coordinates, are Li at (0.000, 0.000, 0.000), Li at (0.000, 0.500, 0.250), Pm at (0.000, 0.500, 0.750), Ge at (0.000, 0.000, 0.500), O at (0.000, 0.000, 0.290) and O at (0.000, 0.500, 0.504).

Its crystal system is tetragonal. For the density of states at the Fermi level, the calculation gives 3.441 states/eV/cell. For the uncorrected formation energy, the calculation gives -2051 meV per atom.